Entry 1:
Below is a relaxed K4BaY crystal, with properties calculated at the PBE level.

abc: 7.846 7.846 7.846
angles: 60.00 60.00 60.00
Sites, in units of the cell vectors:
Y (0.250, 0.250, 0.250)
K (0.128, 0.624, 0.624)
K (0.624, 0.128, 0.624)
K (0.624, 0.624, 0.128)
K (0.624, 0.624, 0.624)
Ba (0.000, 0.000, 0.000)

Values from the calculation:
The volume is 341.5 Å³/cell. As for the formation energy from the elements: 0.415 eV/atom. As for the calculated total energy: -10.28 eV per cell. The mass density is 1.9 g/cm³.



Entry 2:
Below is a relaxed K3BaY crystal, with properties calculated at the PBE level.

abc: 6.913 6.913 6.913
angles: 90.00 90.00 90.00
Sites, in units of the cell vectors:
K (0.000, 0.500, 0.000)
K (0.000, 0.000, 0.500)
K (0.500, 0.000, 0.000)
Y (0.500, 0.500, 0.500)
Ba (0.000, 0.000, 0.000)

Values from the calculation:
The volume is 330.3 Å³/cell. As for the formation energy from the elements: 1.036 eV/atom. As for the calculated total energy: -6.50 eV per cell. The mass density is 1.7 g/cm³.



Entry 3:
Below is a relaxed KBaY3 crystal, with properties calculated at the PBE level.

abc: 6.027 6.027 6.027
angles: 90.00 90.00 90.00
Sites, in units of the cell vectors:
Y (0.000, 0.000, 0.500)
Y (0.500, 0.000, 0.000)
Y (0.000, 0.500, 0.000)
Ba (0.000, 0.000, 0.000)
K (0.500, 0.500, 0.500)

Values from the calculation:
The volume is 218.9 Å³/cell. As for the formation energy from the elements: 0.934 eV/atom. As for the calculated total energy: -17.74 eV per cell. The mass density is 3.4 g/cm³.



Entry 4:
Below is a relaxed KBa2Y2 crystal, with properties calculated at the PBE level.

abc: 11.205 11.205 3.987
angles: 90.00 90.00 90.00
Sites, in units of the cell vectors:
K (0.500, 0.500, 0.000)
K (0.000, 0.000, 0.000)
Ba (0.183, 0.683, 0.500)
Ba (0.317, 0.183, 0.500)
Ba (0.683, 0.817, 0.500)
Ba (0.817, 0.317, 0.500)
Y (0.395, 0.895, 0.000)
Y (0.895, 0.605, 0.000)
Y (0.605, 0.105, 0.000)
Y (0.105, 0.395, 0.000)

Values from the calculation:
The volume is 500.6 Å³/cell. As for the formation energy from the elements: 0.376 eV/atom. As for the calculated total energy: -31.98 eV per cell. The mass density is 3.3 g/cm³.



Entry 5:
Below is a relaxed KBaY2 crystal, with properties calculated at the PBE level.

abc: 13.610 13.610 13.610
angles: 16.36 16.36 16.36
Sites, in units of the cell vectors:
K (0.745, 0.745, 0.745)
Y (0.989, 0.989, 0.989)
Y (0.256, 0.256, 0.256)
Ba (0.509, 0.509, 0.509)

Values from the calculation:
The volume is 174.5 Å³/cell. As for the formation energy from the elements: 0.252 eV/atom. As for the calculated total energy: -14.94 eV per cell. The mass density is 3.4 g/cm³.



Entry 6:
Below is a relaxed KBaY2 crystal, with properties calculated at the PBE level.

abc: 6.241 6.241 6.241
angles: 60.00 60.00 60.00
Sites, in units of the cell vectors:
Ba (0.500, 0.500, 0.500)
Y (0.750, 0.750, 0.750)
Y (0.250, 0.250, 0.250)
K (0.000, 0.000, 0.000)

Values from the calculation:
The volume is 171.9 Å³/cell. As for the formation energy from the elements: 0.583 eV/atom. As for the calculated total energy: -13.62 eV per cell. The mass density is 3.4 g/cm³.



Entry 7:
Below is a relaxed K2Ba2Y crystal, with properties calculated at the PBE level.

abc: 10.612 10.612 4.931
angles: 90.00 90.00 90.00
Sites, in units of the cell vectors:
Ba (0.685, 0.815, 0.500)
Ba (0.185, 0.685, 0.500)
Ba (0.815, 0.315, 0.500)
Ba (0.315, 0.185, 0.500)
Y (0.000, 0.000, 0.000)
Y (0.500, 0.500, 0.000)
K (0.123, 0.377, 0.000)
K (0.377, 0.877, 0.000)
K (0.877, 0.623, 0.000)
K (0.623, 0.123, 0.000)

Values from the calculation:
The volume is 555.3 Å³/cell. As for the formation energy from the elements: 0.494 eV/atom. As for the calculated total energy: -20.07 eV per cell. The mass density is 2.6 g/cm³.



Entry 8:
Below is a relaxed KBaY2 crystal, with properties calculated at the PBE level.

abc: 6.632 6.632 7.439
angles: 82.66 82.66 32.87
Sites, in units of the cell vectors:
Y (0.012, 0.012, 0.961)
Y (0.738, 0.738, 0.780)
Ba (0.495, 0.495, 0.512)
K (0.255, 0.255, 0.246)

Values from the calculation:
The volume is 176.0 Å³/cell. As for the formation energy from the elements: 0.416 eV/atom. As for the calculated total energy: -14.28 eV per cell. The mass density is 3.3 g/cm³.



Entry 9:
Below is a relaxed KBa2Y2 crystal, with properties calculated at the PBE level.

abc: 11.289 11.289 3.900
angles: 90.00 90.00 90.00
Sites, in units of the cell vectors:
Y (0.105, 0.605, 0.500)
Y (0.895, 0.395, 0.500)
Y (0.605, 0.895, 0.500)
Y (0.395, 0.105, 0.500)
Ba (0.183, 0.317, 0.000)
Ba (0.817, 0.683, 0.000)
Ba (0.317, 0.817, 0.000)
Ba (0.683, 0.183, 0.000)
K (0.000, 0.000, 0.000)
K (0.500, 0.500, 0.000)

Values from the calculation:
The volume is 497.0 Å³/cell. As for the formation energy from the elements: 0.398 eV/atom. As for the calculated total energy: -31.76 eV per cell. The mass density is 3.3 g/cm³.



Entry 10:
Below is a relaxed KBaY2 crystal, with properties calculated at the PBE level.

abc: 6.308 6.308 4.312
angles: 90.00 90.00 90.00
Sites, in units of the cell vectors:
Ba (0.500, 0.000, 0.500)
Y (0.000, 0.000, 0.000)
Y (0.500, 0.500, 0.000)
K (0.000, 0.500, 0.500)

Values from the calculation:
The volume is 171.6 Å³/cell. As for the formation energy from the elements: 0.572 eV/atom. As for the calculated total energy: -13.66 eV per cell. The mass density is 3.4 g/cm³.



Entry 11:
Below is a relaxed KBa4Y crystal, with properties calculated at the PBE level.

abc: 7.932 7.932 7.932
angles: 60.00 60.00 60.00
Sites, in units of the cell vectors:
Ba (0.880, 0.373, 0.373)
Ba (0.373, 0.373, 0.880)
Ba (0.373, 0.880, 0.373)
Ba (0.373, 0.373, 0.373)
K (0.750, 0.750, 0.750)
Y (0.000, 0.000, 0.000)

Values from the calculation:
The volume is 352.9 Å³/cell. As for the formation energy from the elements: 0.417 eV/atom. As for the calculated total energy: -12.75 eV per cell. The mass density is 3.2 g/cm³.



Entry 12:
Below is a relaxed KBaY2 crystal, with properties calculated at the PBE level.

abc: 4.969 4.969 14.240
angles: 79.95 79.95 90.00
Sites, in units of the cell vectors:
Y (0.626, 0.125, 0.250)
Y (0.875, 0.876, 0.750)
Y (0.375, 0.374, 0.750)
Y (0.124, 0.625, 0.250)
K (0.500, 0.500, 0.000)
K (0.250, 0.750, 0.500)
Ba (0.750, 0.250, 0.500)
Ba (0.000, 0.000, 0.000)

Values from the calculation:
The volume is 340.8 Å³/cell. As for the formation energy from the elements: 0.632 eV/atom. As for the calculated total energy: -26.84 eV per cell. The mass density is 3.5 g/cm³.



Entry 13:
Below is a relaxed KBaY2 crystal, with properties calculated at the PBE level.

abc: 3.698 3.698 13.620
angles: 90.00 90.00 113.81
Sites, in units of the cell vectors:
K (0.500, 0.500, 0.750)
Y (0.000, 0.000, 0.490)
Y (0.000, 0.000, 0.010)
Ba (0.500, 0.500, 0.250)

Values from the calculation:
The volume is 170.4 Å³/cell. As for the formation energy from the elements: 0.423 eV/atom. As for the calculated total energy: -14.26 eV per cell. The mass density is 3.5 g/cm³.



Entry 14:
Below is a relaxed KBaY2 crystal, with properties calculated at the PBE level.

abc: 6.671 3.729 6.906
angles: 82.87 90.00 90.00
Sites, in units of the cell vectors:
Ba (0.500, 0.250, 0.250)
Y (0.000, 0.496, 0.483)
Y (0.000, 0.004, 0.017)
K (0.500, 0.750, 0.750)

Values from the calculation:
The volume is 170.5 Å³/cell. As for the formation energy from the elements: 0.444 eV/atom. As for the calculated total energy: -14.17 eV per cell. The mass density is 3.5 g/cm³.



Entry 15:
Below is a relaxed KBaY2 crystal, with properties calculated at the PBE level.

abc: 7.257 7.257 3.738
angles: 90.00 90.00 118.70
Sites, in units of the cell vectors:
K (0.000, 0.500, 0.500)
Ba (0.500, 0.000, 0.500)
Y (0.500, 0.500, 0.000)
Y (0.000, 0.000, 0.000)

Values from the calculation:
The volume is 172.7 Å³/cell. As for the formation energy from the elements: 0.505 eV/atom. As for the calculated total energy: -13.93 eV per cell. The mass density is 3.4 g/cm³.



Entry 16:
Below is a relaxed K3BaY crystal, with properties calculated at the PBE level.

abc: 7.043 7.043 7.043
angles: 90.00 90.00 90.00
Sites, in units of the cell vectors:
Ba (0.500, 0.500, 0.500)
K (0.500, 0.000, 0.000)
K (0.000, 0.500, 0.000)
K (0.000, 0.000, 0.500)
Y (0.000, 0.000, 0.000)

Values from the calculation:
The volume is 349.4 Å³/cell. As for the formation energy from the elements: 0.774 eV/atom. As for the calculated total energy: -7.81 eV per cell. The mass density is 1.6 g/cm³.



Entry 17:
Below is a relaxed KBaY2 crystal, with properties calculated at the PBE level.

abc: 6.350 5.215 5.215
angles: 90.00 90.00 90.00
Sites, in units of the cell vectors:
Y (0.000, 0.500, 0.500)
Y (0.000, 0.000, 0.000)
K (0.500, 0.000, 0.500)
Ba (0.500, 0.500, 0.000)

Values from the calculation:
The volume is 172.7 Å³/cell. As for the formation energy from the elements: 0.509 eV/atom. As for the calculated total energy: -13.91 eV per cell. The mass density is 3.4 g/cm³.



Entry 18:
Below is a relaxed KBa2Y2 crystal, with properties calculated at the PBE level.

abc: 4.538 4.538 14.003
angles: 80.68 80.68 90.00
Sites, in units of the cell vectors:
Ba (0.372, 0.372, 0.256)
Ba (0.628, 0.628, 0.744)
K (0.000, 0.000, 0.000)
Y (0.250, 0.750, 0.500)
Y (0.750, 0.250, 0.500)

Values from the calculation:
The volume is 280.7 Å³/cell. As for the formation energy from the elements: 0.340 eV/atom. As for the calculated total energy: -16.17 eV per cell. The mass density is 2.9 g/cm³.



Entry 19:
Below is a relaxed KBaY2 crystal, with properties calculated at the PBE level.

abc: 3.715 3.715 12.618
angles: 90.00 90.00 90.00
Sites, in units of the cell vectors:
K (0.500, 0.500, 0.750)
Ba (0.500, 0.500, 0.250)
Y (0.000, 0.000, 0.483)
Y (0.000, 0.000, 0.017)

Values from the calculation:
The volume is 174.2 Å³/cell. As for the formation energy from the elements: 0.459 eV/atom. As for the calculated total energy: -14.11 eV per cell. The mass density is 3.4 g/cm³.



Entry 20:
Below is a relaxed KBaY2 crystal, with properties calculated at the PBE level.

abc: 6.845 7.622 3.724
angles: 78.97 83.22 114.85
Sites, in units of the cell vectors:
Y (0.500, 0.000, 0.500)
Y (0.000, 0.000, 0.000)
Ba (0.000, 0.500, 0.500)
K (0.500, 0.500, 0.000)

Values from the calculation:
The volume is 168.7 Å³/cell. As for the formation energy from the elements: 0.448 eV/atom. As for the calculated total energy: -14.15 eV per cell. The mass density is 3.5 g/cm³.